Record 1
Entry from Alexandria via LeMat-Bulk: crystalline MgZn2S3 at its relaxed geometry (GGA-PBE).

Values from the calculation:
total magnetization: 0.00 μB per cell
formation energy without anion corrections: -581 kJ/mol of formula units
total energy: -3.7575 eV per atom
DOS at the Fermi energy: 0.00 states/eV/cell
ρ: 3.292 g cm⁻³

The structure in CIF format:
```
data_MgZn2S3
_symmetry_space_group_name_H-M 'I m m 2'
_symmetry_Int_Tables_number 44
_symmetry_space_group_name_Hall 'I 2 -2'
_cell_length_a 3.903
_cell_length_b 11.728
_cell_length_c 5.539
_cell_angle_alpha 90.00
_cell_angle_beta 90.00
_cell_angle_gamma 90.00
loop_
_atom_site_label
_atom_site_fract_x
_atom_site_fract_y
_atom_site_fract_z
_atom_site_occupancy
Mg1 0.000 0.000 0.000 1
Zn1 0.000 0.332 0.998 1
S1 0.000 0.171 0.742 1
S2 0.000 0.500 0.765 1
```

Record 2
Entry from Alexandria via LeMat-Bulk: crystalline BeMoSe at its relaxed geometry (GGA-PBE).

Values from the calculation:
total magnetization: 0.00 μB per cell
formation energy without anion corrections: 148 kJ/mol of formula units
total energy: -5.5022 eV per atom
DOS at the Fermi energy: 7.24 states/eV/cell
ρ: 6.541 g cm⁻³

The structure in CIF format:
```
data_BeMoSe
_symmetry_space_group_name_H-M 'F m m 2'
_symmetry_Int_Tables_number 42
_symmetry_space_group_name_Hall 'F 2 -2'
_cell_length_a 3.422
_cell_length_b 4.547
_cell_length_c 12.002
_cell_angle_alpha 90.00
_cell_angle_beta 90.00
_cell_angle_gamma 90.00
loop_
_atom_site_label
_atom_site_fract_x
_atom_site_fract_y
_atom_site_fract_z
_atom_site_occupancy
Be1 0.000 0.000 0.000 1
Mo1 0.000 0.000 0.638 1
Se1 0.000 0.000 0.308 1
```

Record 3
Entry from Alexandria via LeMat-Bulk: crystalline RbCeIn2Cl6 at its relaxed geometry (GGA-PBE).

Values from the calculation:
total magnetization: 3.00 μB per cell
formation energy without anion corrections: -1561 kJ/mol of formula units
total energy: -3.9637 eV per atom
DOS at the Fermi energy: 25.70 states/eV/cell
ρ: 2.966 g cm⁻³

The structure in CIF format:
```
data_RbCeIn2Cl6
_symmetry_space_group_name_H-M 'R 3'
_symmetry_Int_Tables_number 146
_symmetry_space_group_name_Hall 'R 3'
_cell_length_a 7.9745
_cell_length_b 7.9745
_cell_length_c 20.3705
_cell_angle_alpha 90.00
_cell_angle_beta 90.00
_cell_angle_gamma 120.00
loop_
_atom_site_label
_atom_site_fract_x
_atom_site_fract_y
_atom_site_fract_z
_atom_site_occupancy
Rb1 0.0000 0.0000 0.0000 1
Ce1 0.0000 0.0000 0.5108 1
In1 0.0000 0.0000 0.2090 1
In2 0.0000 0.0000 0.7147 1
Cl1 0.0608 0.7154 0.1097 1
Cl2 0.0683 0.4001 0.2674 1
```

Record 4
Entry from Alexandria via LeMat-Bulk: crystalline CePb2Au at its relaxed geometry (GGA-PBE).

Values from the calculation:
total magnetization: 4.71 μB per cell
total energy: -4.0307 eV per atom
DOS at the Fermi energy: 19.18 states/eV/cell
ρ: 10.728 g cm⁻³
formation energy from the elements: 12 kJ/mol of atoms

The structure in CIF format:
```
data_CePb2Au
_symmetry_space_group_name_H-M 'R -3 m'
_symmetry_Int_Tables_number 166
_symmetry_space_group_name_Hall '-R 3 2"'
_cell_length_a 3.4937
_cell_length_b 3.4937
_cell_length_c 33.0111
_cell_angle_alpha 90.00
_cell_angle_beta 90.00
_cell_angle_gamma 120.00
loop_
_atom_site_label
_atom_site_fract_x
_atom_site_fract_y
_atom_site_fract_z
_atom_site_occupancy
Ce1 0.0000 0.0000 0.0000 1
Pb1 0.0000 0.0000 0.0998 1
Au1 0.0000 0.0000 0.5000 1
```